No. 1
Computed, not measured: a relaxed structure of SrCaVF6 at the PBE with a Hubbard U level of DFT.

Total magnetic moment: 0.333 μB/atom

Geometry as CIF:
```
data_SrCaVF6
_space_group_name_H-M_alt 'P 1'
_space_group_IT_number 1
_cell_length_a 5.7570
_cell_length_b 5.7570
_cell_length_c 10.3178
_cell_angle_alpha 90.00
_cell_angle_beta 90.00
_cell_angle_gamma 120.00
loop_
_space_group_symop_operation_xyz
'x,y,z'
loop_
_atom_site_label
_atom_site_fract_x
_atom_site_fract_y
_atom_site_fract_z
Sr1 0.0000 0.0000 0.0000
Sr2 0.0000 0.0000 0.5000
Ca1 0.3333 0.6667 0.2500
Ca2 0.6667 0.3333 0.7500
V1 0.3333 0.6667 0.7500
V2 0.6667 0.3333 0.2500
F1 0.0189 0.3584 0.6383
F2 0.0189 0.6605 0.8617
F3 0.3395 0.3584 0.8617
F4 0.3395 0.9811 0.6383
F5 0.3584 0.0189 0.1383
F6 0.3584 0.3395 0.3617
F7 0.6416 0.6605 0.6383
F8 0.6416 0.9811 0.8617
F9 0.6605 0.0189 0.3617
F10 0.6605 0.6416 0.1383
F11 0.9811 0.3395 0.1383
F12 0.9811 0.6416 0.3617
```


No. 2
Computed, not measured: a relaxed structure of SrCa2VF8 at the PBE with a Hubbard U level of DFT.

Total magnetic moment: 0.250 μB/atom

Geometry as CIF:
```
data_SrCa2VF8
_space_group_name_H-M_alt 'P 1'
_space_group_IT_number 1
_cell_length_a 4.0813
_cell_length_b 7.6282
_cell_length_c 5.5098
_cell_angle_alpha 90.00
_cell_angle_beta 93.47
_cell_angle_gamma 90.00
loop_
_space_group_symop_operation_xyz
'x,y,z'
loop_
_atom_site_label
_atom_site_fract_x
_atom_site_fract_y
_atom_site_fract_z
Sr1 0.0000 0.0000 0.0000
Ca1 0.5000 0.2622 0.5000
Ca2 0.5000 0.7378 0.5000
V1 0.0000 0.5000 0.0000
F1 0.0366 0.2722 0.7506
F2 0.0366 0.7278 0.7506
F3 0.4378 0.5000 0.2420
F4 0.5004 0.0000 0.2624
F5 0.4996 0.0000 0.7376
F6 0.5622 0.5000 0.7580
F7 0.9634 0.2722 0.2494
F8 0.9634 0.7278 0.2494
```


No. 3
Computed, not measured: a relaxed structure of Sr2CaWF at the PBE with a Hubbard U level of DFT.

Total magnetic moment: 1.064 μB/atom

Geometry as CIF:
```
data_Sr2CaWF
_space_group_name_H-M_alt 'P 1'
_space_group_IT_number 1
_cell_length_a 6.9808
_cell_length_b 6.9808
_cell_length_c 5.6128
_cell_angle_alpha 90.00
_cell_angle_beta 90.00
_cell_angle_gamma 90.00
loop_
_space_group_symop_operation_xyz
'x,y,z'
loop_
_atom_site_label
_atom_site_fract_x
_atom_site_fract_y
_atom_site_fract_z
Sr1 0.0000 0.5000 0.0000
Sr2 0.5000 0.0000 0.0000
Ca1 0.0000 0.0000 0.0000
W1 0.0000 0.0000 0.5000
F1 0.5000 0.5000 0.5000
```


Calculated values (eV/atom) of DFT total energy for the records, taken in order: -5.966 -5.915 -2.172.
Calculated values (states/eV per cell) of DOS at the Fermi energy for the records, taken in order: 0.00 0.00 4.75.